Ir4Se5: optimized geometry, GGA-PBE. Values from VASP.

```
&SYSTEM
  ibrav = 0, nat = 9, ntyp = 2
/
ATOMIC_SPECIES
Ir 192.22 Ir.upf
Se 78.96 Se.upf
ATOMIC_POSITIONS crystal
Ir 0.661 0.000 0.661
Ir 0.339 0.000 0.339
Ir 0.000 0.339 0.339
Ir 0.000 0.661 0.661
Se 0.000 0.000 0.000
Se 0.664 0.336 0.000
Se 0.336 0.664 0.000
Se 0.336 0.336 0.671
Se 0.664 0.664 0.329
CELL_PARAMETERS angstrom
6.891 0.434 2.561
-6.648 -2.949 -1.156
2.318 -1.877 -6.734
```

Its total magnetization is 0.0 Bohr magnetons per cell. As for the space-group type: No. 139. The value obtained for the formation energy from raw total energies is 0.69 eV/atom.

=====

IrSe: optimized geometry, GGA-PBE. Values from VASP.

```
&SYSTEM
  ibrav = 0, nat = 8, ntyp = 2
/
ATOMIC_SPECIES
Ir 192.22 Ir.upf
Se 78.96 Se.upf
ATOMIC_POSITIONS crystal
Ir 0.750 0.922 0.133
Ir 0.250 0.422 0.367
Ir 0.750 0.578 0.633
Ir 0.250 0.078 0.867
Se 0.750 0.297 0.145
Se 0.250 0.797 0.355
Se 0.750 0.203 0.645
Se 0.250 0.703 0.855
CELL_PARAMETERS angstrom
3.000 0.000 0.000
0.000 6.446 0.000
0.000 0.000 8.025
```

Its total magnetization is 0.0 Bohr magnetons per cell. As for the space-group type: No. 62. The value obtained for the formation energy from raw total energies is 0.23 eV/atom.

=====

IrSe: optimized geometry, GGA-PBE. Values from VASP.

```
&SYSTEM
  ibrav = 0, nat = 6, ntyp = 2
/
ATOMIC_SPECIES
Ir 192.22 Ir.upf
Se 78.96 Se.upf
ATOMIC_POSITIONS crystal
Ir 0.030 0.030 0.047
Ir 0.634 0.634 0.751
Ir 0.549 0.549 0.415
Se 0.417 0.417 0.195
Se 0.968 0.968 0.665
Se 0.234 0.234 0.759
CELL_PARAMETERS angstrom
1.878 7.240 -0.496
-1.878 7.240 -0.496
0.000 1.738 5.109
```

Its total magnetization is 0.0 Bohr magnetons per cell. As for the space-group type: No. 8. The value obtained for the formation energy from raw total energies is 0.14 eV/atom.

=====

Question: What is the formation energy from raw total energies in the first record?
Answer: 0.69 eV/atom